# RbInH2

Crystalline RbInH2 at its relaxed geometry (PBE-GGA, Alexandria via LeMat-Bulk).

Results
Space group: Imma, No. 74
Total DFT energy (no corrections), Ha/atom: -0.0990

abc: 7.697 7.697 7.697
angles: 142.74 135.13 59.70
Fractional coordinates of all 8 atoms:
Rb 0.357 0.107 0.250
Rb 0.643 0.893 0.750
In 0.053 0.303 0.750
In 0.947 0.697 0.250
H 0.099 0.609 0.489
H 0.380 0.391 0.989
H 0.620 0.609 0.011
H 0.901 0.391 0.511


# NaBe3Si

Crystalline NaBe3Si at its relaxed geometry (PBE-GGA, Alexandria via LeMat-Bulk).

Results
Formation energy without anion corrections, eV per formula unit: 9.66
Space group: Pm-3m, No. 221
Total DFT energy (no corrections), Ha/atom: -0.0607

abc: 4.384 4.384 4.384
angles: 90.00 90.00 90.00
Fractional coordinates of all 5 atoms:
Na 0.000 0.000 0.000
Be 0.000 0.000 0.500
Be 0.000 0.500 0.000
Be 0.500 0.000 0.000
Si 0.500 0.500 0.500


# BaSrTc2

Crystalline BaSrTc2 at its relaxed geometry (PBE-GGA, Alexandria via LeMat-Bulk).

Results
Space group: F-43m, No. 216
ΔH_f (0 K), eV per formula unit: 4.9
Total DFT energy (no corrections), Ha/atom: -0.1785

abc: 5.128 5.128 5.128
angles: 60.00 60.00 60.00
Fractional coordinates of all 4 atoms:
Ba 0.000 0.000 0.000
Sr 0.750 0.750 0.750
Tc 0.250 0.250 0.250
Tc 0.500 0.500 0.500


# ZnHg3B

Crystalline ZnHg3B at its relaxed geometry (PBE-GGA, Alexandria via LeMat-Bulk).

Results
Space group: Pm-3m, No. 221
ΔH_f (0 K), eV per formula unit: 2.8
Total DFT energy (no corrections), Ha/atom: -0.0449

abc: 4.781 4.781 4.781
angles: 90.00 90.00 90.00
Fractional coordinates of all 5 atoms:
Zn 0.000 0.000 0.000
Hg 0.000 0.500 0.500
Hg 0.500 0.000 0.500
Hg 0.500 0.500 0.000
B 0.500 0.500 0.500


# Cu2Mo2Au

Crystalline Cu2Mo2Au at its relaxed geometry (PBE-GGA, Alexandria via LeMat-Bulk).

Results
Space group: P4/mbm, No. 127
ΔH_f (0 K), eV per formula unit: 2.3
Total DFT energy (no corrections), Ha/atom: -0.2267

abc: 6.606 6.606 3.396
angles: 90.00 90.00 90.00
Fractional coordinates of all 10 atoms:
Cu 0.129 0.371 0.000
Cu 0.371 0.871 0.000
Cu 0.629 0.129 0.000
Cu 0.871 0.629 0.000
Mo 0.167 0.667 0.500
Mo 0.333 0.167 0.500
Mo 0.667 0.833 0.500
Mo 0.833 0.333 0.500
Au 0.000 0.000 0.000
Au 0.500 0.500 0.000


# NdSm6Dy3Tm2

Crystalline NdSm6Dy3Tm2 at its relaxed geometry (PBE-GGA, Alexandria via LeMat-Bulk).

Results
Space group: C2/m, No. 12
ΔH_f (0 K), eV per formula unit: 0.2
Total DFT energy (no corrections), Ha/atom: -0.1704

abc: 6.218 6.218 11.854
angles: 95.00 95.00 119.98
Fractional coordinates of all 12 atoms:
Nd 0.000 0.000 0.000
Sm 0.084 0.418 0.250
Sm 0.250 0.250 0.750
Sm 0.418 0.084 0.250
Sm 0.582 0.916 0.750
Sm 0.750 0.750 0.250
Sm 0.916 0.582 0.750
Dy 0.167 0.833 0.500
Dy 0.500 0.500 0.500
Dy 0.833 0.167 0.500
Tm 0.333 0.667 0.000
Tm 0.667 0.333 0.000


# NaSm4In3

Crystalline NaSm4In3 at its relaxed geometry (PBE-GGA, Alexandria via LeMat-Bulk).

Results
Space group: I4/mmm, No. 139
ΔH_f (0 K), eV per formula unit: -2.7
Total DFT energy (no corrections), Ha/atom: -0.1428

abc: 8.855 8.855 8.855
angles: 144.82 144.82 50.61
Fractional coordinates of all 8 atoms:
Na 0.000 0.000 0.000
Sm 0.129 0.629 0.500
Sm 0.371 0.871 0.500
Sm 0.629 0.129 0.500
Sm 0.871 0.371 0.500
In 0.247 0.247 0.000
In 0.500 0.500 0.000
In 0.753 0.753 0.000


# MgMn3Pd12

Crystalline MgMn3Pd12 at its relaxed geometry (PBE-GGA, Alexandria via LeMat-Bulk).

Results
Space group: P4/mmm, No. 123
ΔH_f (0 K), eV per formula unit: -4.5
Total DFT energy (no corrections), Ha/atom: -0.2204

abc: 3.936 3.936 15.713
angles: 90.00 90.00 90.00
Fractional coordinates of all 16 atoms:
Mg 0.000 0.000 0.000
Mn 0.000 0.000 0.251
Mn 0.000 0.000 0.500
Mn 0.000 0.000 0.749
Pd 0.000 0.500 0.128
Pd 0.000 0.500 0.376
Pd 0.000 0.500 0.624
Pd 0.000 0.500 0.872
Pd 0.500 0.000 0.128
Pd 0.500 0.000 0.376
Pd 0.500 0.000 0.624
Pd 0.500 0.000 0.872
Pd 0.500 0.500 0.000
Pd 0.500 0.500 0.252
Pd 0.500 0.500 0.500
Pd 0.500 0.500 0.748